# Cu2TcP

Cu2TcP at its PBEsol-relaxed geometry (SCAN, Alexandria).

Output
Total magnetic moment: 0.1992 μB/atom
Crystal system: tetragonal
Formation energy: 0.1053 eV/atom

abc: 3.490 3.490 3.966
angles: 90.00 90.00 90.00
Sites, in units of the cell vectors:
Cu1 0.000 0.500 0.000
Cu2 0.500 0.000 0.000
P1 0.500 0.500 0.500
Tc1 0.000 0.000 0.500